# 1
This record from Alexandria describes a relaxed structure of Zr2ScHgB. The functional is PBE.

The structure belongs to space group P4/mmm (No. 123); the cell edges are 4.639, 4.639 and 4.643 Å and the angles 90.00°, 90.00° and 90.00°. The distinct sites, in fractional coordinates, are Zr at (0.000, 0.500, 0.000), Sc at (0.000, 0.000, 0.500), Hg at (0.500, 0.500, 0.500) and B at (0.000, 0.000, 0.000).

The value obtained for the formation energy is -0.31 eV/atom. As for the total energy: -6.39 eV per atom. Its spin magnetization is 0.0 Bohr magnetons per cell.

---

# 2
This record from Alexandria describes a relaxed structure of PrBIr2. The functional is PBE.

The structure belongs to space group R-3m (No. 166, hexagonal axes); the cell edges are 4.9609, 4.9609 and 13.5255 Å and the angles 90.00°, 90.00° and 120.00°. The distinct sites, in fractional coordinates, are Pr at (0.0000, 0.0000, 0.0000), B at (0.0000, 0.0000, 0.5000) and Ir at (0.0000, 0.0000, 0.3598).

The value obtained for the formation energy is 0.20 eV/atom. As for the total energy: -7.10 eV per atom. Its spin magnetization is 0.0 Bohr magnetons per cell.

---

# 3
This record from Alexandria describes a relaxed structure of Tb2BiI3. The functional is PBE.

The structure belongs to space group C2/m (No. 12); the cell edges are 19.065, 4.550 and 14.067 Å and the angles 90.00°, 126.25° and 90.00°. The distinct sites, in fractional coordinates, are Tb at (0.105, 0.000, 0.446), Tb at (0.134, 0.500, 0.832), Bi at (0.096, 0.000, 0.663), I at (0.055, 0.500, 0.252), I at (0.163, 0.000, 0.019) and I at (0.238, 0.500, 0.604).

As for the total energy: -4.04 eV per atom. The calculation puts the raw formation energy at -1.079 eV/atom. Its spin magnetization is 0.0 Bohr magnetons per cell.

---

# 4
This record from Alexandria describes a relaxed structure of ErU2PaP4. The functional is PBE.

The structure belongs to space group P2/m (No. 10); the cell edges are 6.805, 3.926 and 6.910 Å and the angles 90.00°, 109.15° and 90.00°. The distinct sites, in fractional coordinates, are Er at (0.000, 0.000, 0.000), U at (0.000, 0.500, 0.500), U at (0.500, 0.000, 0.500), Pa at (0.500, 0.500, 0.000), P at (0.248, 0.000, 0.749) and P at (0.251, 0.500, 0.252).

The value obtained for the formation energy is -1.21 eV/atom. As for the total energy: -8.49 eV per atom. Its spin magnetization is 4.5 Bohr magnetons per cell.

---

Number 1: mass density 7.29 Mg/m³. Number 2: mass density 9.26 Mg/m³. Number 3: mass density 6.13 Mg/m³. Number 4: mass density 9.51 Mg/m³.